The following is a PBE calculation of a relaxed structure of Ce3Zn2Co7, from Alexandria.

Energy, eV/atom: -6.035
E_form, eV per atom: -0.194

Geometry as CIF:
```
data_Ce3Zn2Co7
_symmetry_space_group_name_H-M 'R -3 m'
_symmetry_Int_Tables_number 166
_symmetry_space_group_name_Hall '-R 3 2"'
_cell_length_a 5.0730
_cell_length_b 5.0730
_cell_length_c 23.7813
_cell_angle_alpha 90.00
_cell_angle_beta 90.00
_cell_angle_gamma 120.00
loop_
_atom_site_label
_atom_site_fract_x
_atom_site_fract_y
_atom_site_fract_z
_atom_site_occupancy
Ce1 0.0000 0.0000 0.0000 1
Ce2 0.0000 0.0000 0.1383 1
Zn1 0.0000 0.0000 0.3337 1
Co1 0.0000 0.0000 0.5000 1
Co2 0.9995 0.4998 0.0849 1
```